(1)
First-principles (PBE) data for crystalline B3AsS at its relaxed geometry, as listed in the Alexandria database.

Cell: 3.865 3.865 3.865 Å, 90.00 90.00 90.00°
Space group Pm-3m (No. 221)
Inequivalent atoms, fractional coordinates:
B 0.000 0.000 0.500 (multiplicity 3)
As 0.500 0.500 0.500 (multiplicity 1)
S 0.000 0.000 0.000 (multiplicity 1)

- D(E_F) (states/eV/cell) = 1.80
- ΔE to the lowest computed polymorph (meV per atom) = 0.0
- E_form (uncorrected) (meV per atom) = 1610
- crystal system = cubic
- total moment (μB per formula unit) = 0.0
- E (eV per cell) = -20.76


(2)
First-principles (PBE) data for crystalline BAsS3 at its relaxed geometry, as listed in the Alexandria database.

Cell: 4.194 4.194 4.194 Å, 90.00 90.00 90.00°
Space group Pm-3m (No. 221)
Inequivalent atoms, fractional coordinates:
B 0.000 0.000 0.000 (multiplicity 1)
As 0.500 0.500 0.500 (multiplicity 1)
S 0.000 0.000 0.500 (multiplicity 3)

- D(E_F) (states/eV/cell) = 2.84
- ΔE to the lowest computed polymorph (meV per atom) = 881.1
- E_form (uncorrected) (meV per atom) = 727
- crystal system = cubic
- total moment (μB per formula unit) = 0.0
- E (eV per cell) = -20.07


(3)
First-principles (PBE) data for crystalline BAs3S at its relaxed geometry, as listed in the Alexandria database.

Cell: 4.784 4.784 4.784 Å, 90.00 90.00 90.00°
Space group Pm-3m (No. 221)
Inequivalent atoms, fractional coordinates:
B 0.000 0.000 0.000 (multiplicity 1)
As 0.000 0.500 0.500 (multiplicity 3)
S 0.500 0.500 0.500 (multiplicity 1)

- D(E_F) (states/eV/cell) = 6.11
- E_form (uncorrected) (meV per atom) = 1580
- crystal system = cubic
- total moment (μB per formula unit) = 0.0
- E (eV per cell) = -16.85


(4)
First-principles (PBE) data for crystalline BAsSe2S at its relaxed geometry, as listed in the Alexandria database.

Cell: 4.864 4.864 4.811 Å, 90.00 90.00 90.00°
Space group P4/mmm (No. 123)
Inequivalent atoms, fractional coordinates:
B 0.000 0.000 0.000 (multiplicity 1)
As 0.500 0.500 0.000 (multiplicity 1)
Se 0.000 0.500 0.500 (multiplicity 2)
S 0.500 0.500 0.500 (multiplicity 1)

- D(E_F) (states/eV/cell) = 4.04
- ΔE to the lowest computed polymorph (meV per atom) = 550.7
- E_form (uncorrected) (meV per atom) = 1457
- crystal system = tetragonal
- total moment (μB per formula unit) = 0.6
- E (eV per cell) = -15.14


(5)
First-principles (PBE) data for crystalline BAsSe2S at its relaxed geometry, as listed in the Alexandria database.

Cell: 4.337 4.337 4.700 Å, 90.00 90.00 90.00°
Space group P4/mmm (No. 123)
Inequivalent atoms, fractional coordinates:
B 0.000 0.000 0.000 (multiplicity 1)
As 0.000 0.000 0.500 (multiplicity 1)
Se 0.000 0.500 0.000 (multiplicity 2)
S 0.500 0.500 0.500 (multiplicity 1)

- D(E_F) (states/eV/cell) = 3.76
- ΔE to the lowest computed polymorph (meV per atom) = 0.0
- E_form (uncorrected) (meV per atom) = 907
- crystal system = tetragonal
- total moment (μB per formula unit) = 0.0
- E (eV per cell) = -17.89


(6)
First-principles (PBE) data for crystalline BAs2SeS at its relaxed geometry, as listed in the Alexandria database.

Cell: 4.813 4.813 4.832 Å, 90.00 90.00 90.00°
Space group P4/mmm (No. 123)
Inequivalent atoms, fractional coordinates:
B 0.000 0.000 0.000 (multiplicity 1)
As 0.000 0.500 0.500 (multiplicity 2)
Se 0.500 0.500 0.000 (multiplicity 1)
S 0.500 0.500 0.500 (multiplicity 1)

- D(E_F) (states/eV/cell) = 4.79
- ΔE to the lowest computed polymorph (meV per atom) = 641.3
- E_form (uncorrected) (meV per atom) = 1534
- crystal system = tetragonal
- total moment (μB per formula unit) = 0.0
- E (eV per cell) = -15.92


(7)
First-principles (PBE) data for crystalline BAs2SeS at its relaxed geometry, as listed in the Alexandria database.

Cell: 4.499 4.499 4.310 Å, 90.00 90.00 90.00°
Space group P4/mmm (No. 123)
Inequivalent atoms, fractional coordinates:
B 0.000 0.000 0.000 (multiplicity 1)
As 0.000 0.500 0.000 (multiplicity 2)
Se 0.000 0.000 0.500 (multiplicity 1)
S 0.500 0.500 0.500 (multiplicity 1)

- D(E_F) (states/eV/cell) = 3.65
- ΔE to the lowest computed polymorph (meV per atom) = 0.0
- E_form (uncorrected) (meV per atom) = 892
- crystal system = tetragonal
- total moment (μB per formula unit) = 0.0
- E (eV per cell) = -19.13


(8)
First-principles (PBE) data for crystalline B3SbAs at its relaxed geometry, as listed in the Alexandria database.

Cell: 4.467 4.467 4.467 Å, 90.00 90.00 90.00°
Space group Pm-3m (No. 221)
Inequivalent atoms, fractional coordinates:
B 0.000 0.000 0.500 (multiplicity 3)
Sb 0.000 0.000 0.000 (multiplicity 1)
As 0.500 0.500 0.500 (multiplicity 1)

- D(E_F) (states/eV/cell) = 2.23
- ΔE to the lowest computed polymorph (meV per atom) = 481.3
- E_form (uncorrected) (meV per atom) = 2140
- crystal system = cubic
- total moment (μB per formula unit) = 0.0
- E (eV per cell) = -18.10


(9)
First-principles (PBE) data for crystalline B2SbAs at its relaxed geometry, as listed in the Alexandria database.

Cell: 5.057 5.057 10.056 Å, 90.00 90.00 90.00°
Space group I-42d (No. 122)
Inequivalent atoms, fractional coordinates:
B 0.220 0.250 0.125 (multiplicity 8)
Sb 0.000 0.000 0.500 (multiplicity 4)
As 0.000 0.000 0.000 (multiplicity 4)

- D(E_F) (states/eV/cell) = 0.00
- ΔE to the lowest computed polymorph (meV per atom) = 0.0
- E_form (uncorrected) (meV per atom) = 204
- crystal system = tetragonal
- total moment (μB per formula unit) = 0.0
- E (eV per cell) = -85.24


(10)
First-principles (PBE) data for crystalline B3SbAs at its relaxed geometry, as listed in the Alexandria database.

Cell: 4.205 4.205 4.205 Å, 90.00 90.00 90.00°
Space group Pm-3m (No. 221)
Inequivalent atoms, fractional coordinates:
B 0.000 0.000 0.500 (multiplicity 3)
Sb 0.500 0.500 0.500 (multiplicity 1)
As 0.000 0.000 0.000 (multiplicity 1)

- D(E_F) (states/eV/cell) = 2.35
- ΔE to the lowest computed polymorph (meV per atom) = 0.0
- E_form (uncorrected) (meV per atom) = 1659
- crystal system = cubic
- total moment (μB per formula unit) = 0.0
- E (eV per cell) = -20.51


(11)
First-principles (PBE) data for crystalline BSb3As at its relaxed geometry, as listed in the Alexandria database.

Cell: 4.829 4.829 4.829 Å, 90.00 90.00 90.00°
Space group Pm-3m (No. 221)
Inequivalent atoms, fractional coordinates:
B 0.000 0.000 0.000 (multiplicity 1)
Sb 0.000 0.000 0.500 (multiplicity 3)
As 0.500 0.500 0.500 (multiplicity 1)

- D(E_F) (states/eV/cell) = 4.63
- ΔE to the lowest computed polymorph (meV per atom) = 0.0
- E_form (uncorrected) (meV per atom) = 788
- crystal system = cubic
- total moment (μB per formula unit) = 0.0
- E (eV per cell) = -19.75


(12)
First-principles (PBE) data for crystalline BSb2As at its relaxed geometry, as listed in the Alexandria database.

Cell: 6.848 6.848 6.848 Å, 90.00 90.00 90.00°
Space group Fm-3m (No. 225)
Inequivalent atoms, fractional coordinates:
B 0.000 0.000 0.000 (multiplicity 4)
Sb 0.250 0.250 0.250 (multiplicity 8)
As 0.000 0.000 0.500 (multiplicity 4)

- D(E_F) (states/eV/cell) = 7.97
- ΔE to the lowest computed polymorph (meV per atom) = 537.8
- E_form (uncorrected) (meV per atom) = 1011
- crystal system = cubic
- total moment (μB per formula unit) = 0.0
- E (eV per cell) = -62.11


(13)
First-principles (PBE) data for crystalline BSbAs2 at its relaxed geometry, as listed in the Alexandria database.

Cell: 6.199 6.199 8.386 Å, 90.00 90.00 90.00°
Space group I-42d (No. 122)
Inequivalent atoms, fractional coordinates:
B 0.000 0.000 0.000 (multiplicity 4)
Sb 0.000 0.000 0.500 (multiplicity 4)
As 0.154 0.250 0.125 (multiplicity 8)

- D(E_F) (states/eV/cell) = 6.04
- ΔE to the lowest computed polymorph (meV per atom) = 0.0
- E_form (uncorrected) (meV per atom) = 316
- crystal system = tetragonal
- total moment (μB per formula unit) = 0.0
- E (eV per cell) = -75.34


(14)
First-principles (PBE) data for crystalline BSbAs2 at its relaxed geometry, as listed in the Alexandria database.

Cell: 6.673 6.673 6.673 Å, 90.00 90.00 90.00°
Space group Fm-3m (No. 225)
Inequivalent atoms, fractional coordinates:
B 0.000 0.000 0.000 (multiplicity 4)
Sb 0.000 0.000 0.500 (multiplicity 4)
As 0.250 0.250 0.250 (multiplicity 8)

- D(E_F) (states/eV/cell) = 7.56
- ΔE to the lowest computed polymorph (meV per atom) = 808.9
- E_form (uncorrected) (meV per atom) = 1125
- crystal system = cubic
- total moment (μB per formula unit) = 0.0
- E (eV per cell) = -62.39


(15)
First-principles (PBE) data for crystalline BSb3As at its relaxed geometry, as listed in the Alexandria database.

Cell: 5.370 5.370 5.370 Å, 90.00 90.00 90.00°
Space group Pm-3m (No. 221)
Inequivalent atoms, fractional coordinates:
B 0.000 0.000 0.000 (multiplicity 1)
Sb 0.000 0.500 0.500 (multiplicity 3)
As 0.500 0.500 0.500 (multiplicity 1)

- D(E_F) (states/eV/cell) = 6.02
- ΔE to the lowest computed polymorph (meV per atom) = 761.9
- E_form (uncorrected) (meV per atom) = 1550
- crystal system = cubic
- total moment (μB per formula unit) = 0.0
- E (eV per cell) = -15.94


(16)
First-principles (PBE) data for crystalline B2SbAs at its relaxed geometry, as listed in the Alexandria database.

Cell: 6.147 6.147 6.147 Å, 90.00 90.00 90.00°
Space group Fm-3m (No. 225)
Inequivalent atoms, fractional coordinates:
B 0.250 0.250 0.250 (multiplicity 8)
Sb 0.000 0.000 0.000 (multiplicity 4)
As 0.000 0.000 0.500 (multiplicity 4)

- D(E_F) (states/eV/cell) = 12.46
- ΔE to the lowest computed polymorph (meV per atom) = 1342.7
- E_form (uncorrected) (meV per atom) = 1547
- crystal system = cubic
- total moment (μB per formula unit) = 0.0
- E (eV per cell) = -63.76


(17)
First-principles (PBE) data for crystalline BSb2As at its relaxed geometry, as listed in the Alexandria database.

Cell: 6.254 6.254 9.909 Å, 90.00 90.00 90.00°
Space group I-42d (No. 122)
Inequivalent atoms, fractional coordinates:
B 0.000 0.000 0.000 (multiplicity 4)
Sb 0.182 0.250 0.125 (multiplicity 8)
As 0.000 0.000 0.500 (multiplicity 4)

- D(E_F) (states/eV/cell) = 6.79
- ΔE to the lowest computed polymorph (meV per atom) = 0.0
- E_form (uncorrected) (meV per atom) = 473
- crystal system = tetragonal
- total moment (μB per formula unit) = 0.0
- E (eV per cell) = -70.71


(18)
First-principles (PBE) data for crystalline BSbAs at its relaxed geometry, as listed in the Alexandria database.

Cell: 9.637 3.051 9.232 Å, 90.00 108.42 90.00°
Space group Cm (No. 8)
Inequivalent atoms, fractional coordinates:
B 0.000 0.000 0.000 (multiplicity 2)
B 0.070 0.500 0.014 (multiplicity 2)
Sb 0.021 0.500 0.441 (multiplicity 2)
Sb 0.310 0.500 0.677 (multiplicity 2)
As 0.186 0.500 0.252 (multiplicity 2)
As 0.271 0.500 0.952 (multiplicity 2)

- D(E_F) (states/eV/cell) = 3.86
- E_form (uncorrected) (meV per atom) = 338
- crystal system = monoclinic
- total moment (μB per formula unit) = 0.0
- E (eV per cell) = -57.74


(19)
First-principles (PBE) data for crystalline BSbTe2As at its relaxed geometry, as listed in the Alexandria database.

Cell: 4.817 4.817 4.903 Å, 90.00 90.00 90.00°
Space group P4/mmm (No. 123)
Inequivalent atoms, fractional coordinates:
B 0.000 0.000 0.000 (multiplicity 1)
Sb 0.000 0.000 0.500 (multiplicity 1)
Te 0.000 0.500 0.000 (multiplicity 2)
As 0.500 0.500 0.500 (multiplicity 1)

- D(E_F) (states/eV/cell) = 3.17
- ΔE to the lowest computed polymorph (meV per atom) = 0.0
- E_form (uncorrected) (meV per atom) = 778
- crystal system = tetragonal
- total moment (μB per formula unit) = 0.0
- E (eV per cell) = -17.84


(20)
First-principles (PBE) data for crystalline BSb2TeAs at its relaxed geometry, as listed in the Alexandria database.

Cell: 5.313 5.313 5.566 Å, 90.00 90.00 90.00°
Space group P4/mmm (No. 123)
Inequivalent atoms, fractional coordinates:
B 0.000 0.000 0.000 (multiplicity 1)
Sb 0.000 0.500 0.500 (multiplicity 2)
Te 0.500 0.500 0.000 (multiplicity 1)
As 0.500 0.500 0.500 (multiplicity 1)

- D(E_F) (states/eV/cell) = 4.91
- ΔE to the lowest computed polymorph (meV per atom) = 725.6
- E_form (uncorrected) (meV per atom) = 1503
- crystal system = tetragonal
- total moment (μB per formula unit) = 0.0
- E (eV per cell) = -15.20